1.
Compound: Rb2Nb3F9
Source: the Alexandria database
Functional: PBE
Structure: optimized geometry

Lattice parameters (Å, degrees): 8.463 8.855 8.855 118.52 102.56 102.56
Fractional coordinates of all 28 atoms:
Nb 0.346 0.766 0.948
Nb 0.654 0.234 0.052
Rb 0.811 0.770 0.447
Rb 0.811 0.447 0.770
F 0.774 0.724 0.724
Rb 0.189 0.553 0.230
F 0.830 0.312 0.312
F 0.500 0.802 0.198
F 0.810 0.910 0.112
F 0.170 0.688 0.688
F 0.519 0.196 0.395
F 0.481 0.804 0.605
Nb 0.346 0.948 0.766
F 0.174 0.890 0.514
F 0.226 0.276 0.276
Nb 0.362 0.130 0.130
F 0.826 0.110 0.486
F 0.174 0.514 0.890
F 0.481 0.605 0.804
F 0.190 0.888 0.090
F 0.190 0.090 0.888
Nb 0.654 0.052 0.234
F 0.826 0.486 0.110
F 0.519 0.395 0.196
F 0.810 0.112 0.910
Nb 0.638 0.870 0.870
F 0.500 0.198 0.802
Rb 0.189 0.230 0.553

Output
- Formation energy (no corrections): -2.764 eV/atom

2.
Compound: KSrTi2Be
Source: the Alexandria database
Functional: PBE
Structure: optimized geometry

Lattice parameters (Å, degrees): 5.100 5.615 5.100 90.00 90.00 90.00
Site moments in Bohr magnetons follow the coordinates.
Fractional coordinates of all 5 atoms:
Ti 0.000 0.000 0.500  0.48
Be 0.500 0.500 0.500  -0.01
Sr 0.000 0.000 0.000  0.04
Ti 0.500 0.000 0.000  0.52
K 0.000 0.500 0.000  0.00

Output
- Formation enthalpy at 0 K: 10.97 eV per formula unit

So what do the calculations give for total magnetization? Going down the list: 0.00 1.29 μB/f.u..